(1)
A geometry-optimized La3FePb structure, computed with PBE.

Polymorph energy (0 for the lowest one) (meV per atom): 174.9
Formation energy (eV/atom): -0.152
Magnetization (μB per cell): 0.00
VASP energy (eV per cell): -55.43

Unit cell a=6.712 b=6.712 c=8.696 alpha=99.15 beta=99.15 gamma=48.30
Positions (direct):
La: 0.065 0.065 0.367
La: 0.269 0.269 0.684
La: 0.415 0.415 0.193
La: 0.585 0.585 0.807
La: 0.731 0.731 0.316
La: 0.935 0.935 0.633
Fe: 0.401 0.401 0.471
Fe: 0.599 0.599 0.529
Pb: 0.133 0.133 0.023
Pb: 0.867 0.867 0.977

(2)
A geometry-optimized La2FePb structure, computed with PBE.

Polymorph energy (0 for the lowest one) (meV per atom): 139.2
Formation energy (eV/atom): 0.016
Magnetization (μB per cell): 4.28
VASP energy (eV per cell): -43.93

Unit cell a=4.637 b=4.637 c=10.148 alpha=90.00 beta=90.00 gamma=90.00
Positions (direct):
La: 0.000 0.000 0.000
La: 0.000 0.500 0.250
La: 0.500 0.000 0.750
La: 0.500 0.500 0.500
Fe: 0.000 0.000 0.500
Fe: 0.500 0.500 0.000
Pb: 0.000 0.500 0.750
Pb: 0.500 0.000 0.250

(3)
A geometry-optimized La2FePb structure, computed with PBE.

Polymorph energy (0 for the lowest one) (meV per atom): 11.0
Formation energy (eV/atom): -0.113
Magnetization (μB per cell): 2.14
VASP energy (eV per cell): -44.95

Unit cell a=5.089 b=5.097 c=8.452 alpha=90.00 beta=90.00 gamma=90.00
Positions (direct):
La: 0.000 0.000 0.205
La: 0.000 0.000 0.795
La: 0.500 0.500 0.205
La: 0.500 0.500 0.795
Fe: 0.000 0.500 0.000
Fe: 0.500 0.000 0.000
Pb: 0.000 0.500 0.500
Pb: 0.500 0.000 0.500

(4)
A geometry-optimized La3FePb structure, computed with PBE.

Polymorph energy (0 for the lowest one) (meV per atom): 307.7
Formation energy (eV/atom): -0.020
Magnetization (μB per cell): 1.71
VASP energy (eV per cell): -54.10

Unit cell a=6.574 b=6.574 c=6.574 alpha=87.30 beta=87.30 gamma=87.30
Positions (direct):
La: 0.040 0.750 0.460
La: 0.250 0.540 0.960
La: 0.460 0.040 0.750
La: 0.540 0.960 0.250
La: 0.750 0.460 0.040
La: 0.960 0.250 0.540
Fe: 0.250 0.250 0.250
Fe: 0.750 0.750 0.750
Pb: 0.000 0.000 0.000
Pb: 0.500 0.500 0.500

magnetization of number 4 (La3FePb)? 1.71 μB per cell